a) Density functional theory data (PBE) for a geometry-optimized YIr4 structure.

a b c (Å): 6.469 6.469 6.469
angles (deg): 144.47 144.47 51.13
Fractional coordinates of all 5 atoms:
Y 0.000 0.000 0.000
Ir 0.602 0.602 0.000
Ir 0.398 0.398 0.000
Ir 0.250 0.750 0.500
Ir 0.750 0.250 0.500

## Properties
Calculated density in g cm⁻³: 15.657
DOS at the Fermi energy in states/eV per cell: 6.19
Space group: I4/mmm, No. 139

b) Density functional theory data (PBE) for a geometry-optimized YIr4 structure.

a b c (Å): 4.844 4.844 4.844
angles (deg): 90.00 90.00 90.00
Each line ends with the local moment (μB).
Fractional coordinates of all 5 atoms:
Ir 0.000 0.000 0.000  1.36
Ir 0.000 0.500 0.500  0.79
Ir 0.500 0.000 0.500  0.79
Y 0.500 0.500 0.500  -0.04
Ir 0.500 0.500 0.000  0.79

## Properties
Calculated density in g cm⁻³: 12.531
DOS at the Fermi energy in states/eV per cell: 8.70
Space group: Pm-3m, No. 221

Quick one: least stable of them? b)

a) Density functional theory data (PBE) for a geometry-optimized YIr4 structure.

a b c (Å): 5.138 5.138 5.138
angles (deg): 109.47 109.47 109.47
Fractional coordinates of all 5 atoms:
Ir 0.000 0.000 0.500
Y 0.000 0.000 0.000
Ir 0.500 0.000 0.000
Ir 0.500 0.500 0.500
Ir 0.000 0.500 0.000

## Properties
Calculated density in g cm⁻³: 13.640
DOS at the Fermi energy in states/eV per cell: 8.85
Space group: Im-3m, No. 229

b) Density functional theory data (PBE) for a geometry-optimized YIr4 structure.

a b c (Å): 4.982 4.982 4.982
angles (deg): 99.23 99.23 132.79
Fractional coordinates of all 5 atoms:
Ir 0.821 0.599 0.419
Ir 0.401 0.821 0.222
Ir 0.599 0.179 0.778
Y 0.000 0.000 0.000
Ir 0.179 0.401 0.581

## Properties
Calculated density in g cm⁻³: 17.132
DOS at the Fermi energy in states/eV per cell: 3.94
Space group: I4/m, No. 87

Quick one: least stable of them? a)

a) Density functional theory data (PBE) for a geometry-optimized Y3Ir4 structure.

a b c (Å): 6.132 6.132 4.647
angles (deg): 90.00 90.00 120.00
Fractional coordinates of all 7 atoms:
Y 0.500 0.500 0.000
Ir 0.000 0.000 0.252
Y 0.500 0.000 0.000
Y 0.000 0.500 0.000
Ir 0.667 0.333 0.500
Ir 0.333 0.667 0.500
Ir 0.000 0.000 0.748

## Properties
Calculated density in g cm⁻³: 11.365
DOS at the Fermi energy in states/eV per cell: 4.49
Space group: P6/mmm, No. 191

b) Density functional theory data (PBE) for a geometry-optimized Y3Ir4 structure.

a b c (Å): 8.030 8.030 8.030
angles (deg): 114.88 114.88 114.88
Fractional coordinates of all 14 atoms:
Y 0.898 0.549 0.806
Y 0.451 0.194 0.102
Y 0.102 0.451 0.194
Ir 0.472 0.927 0.305
Ir 0.500 0.500 0.500
Ir 0.073 0.695 0.528
Y 0.549 0.806 0.898
Ir 0.305 0.472 0.927
Ir 0.000 0.000 0.000
Ir 0.927 0.305 0.472
Y 0.194 0.102 0.451
Y 0.806 0.898 0.549
Ir 0.695 0.528 0.073
Ir 0.528 0.073 0.695

## Properties
Calculated density in g cm⁻³: 11.745
DOS at the Fermi energy in states/eV per cell: 14.07
Space group: R-3, No. 148

c) Density functional theory data (PBE) for a geometry-optimized Y3Ir4 structure.

a b c (Å): 10.509 10.509 10.509
angles (deg): 159.35 159.35 29.36
Fractional coordinates of all 7 atoms:
Ir 0.437 0.437 0.000
Y 0.000 0.000 0.000
Ir 0.147 0.147 0.000
Ir 0.853 0.853 0.000
Y 0.303 0.303 0.000
Ir 0.563 0.563 0.000
Y 0.697 0.697 0.000

## Properties
Calculated density in g cm⁻³: 11.926
DOS at the Fermi energy in states/eV per cell: 6.98
Space group: I4/mmm, No. 139

Quick one: least stable of them? a)

a) Density functional theory data (PBE) for a geometry-optimized Y4Ir structure.

a b c (Å): 9.858 9.858 9.858
angles (deg): 157.05 157.05 32.67
Fractional coordinates of all 5 atoms:
Ir 0.000 0.000 0.000
Y 0.250 0.750 0.500
Y 0.580 0.580 0.000
Y 0.420 0.420 0.000
Y 0.750 0.250 0.500

## Properties
Calculated density in g cm⁻³: 6.254
DOS at the Fermi energy in states/eV per cell: 6.63
Space group: I4/mmm, No. 139

b) Density functional theory data (PBE) for a geometry-optimized Y4Ir structure.

a b c (Å): 6.483 6.483 6.483
angles (deg): 94.41 94.41 147.80
Fractional coordinates of all 5 atoms:
Y 0.425 0.244 0.669
Y 0.575 0.756 0.331
Y 0.756 0.425 0.181
Ir 0.000 0.000 0.000
Y 0.244 0.575 0.819

## Properties
Calculated density in g cm⁻³: 6.522
DOS at the Fermi energy in states/eV per cell: 5.94
Space group: I4/m, No. 87

c) Density functional theory data (PBE) for a geometry-optimized Y4Ir structure.

a b c (Å): 7.731 7.731 7.731
angles (deg): 60.00 60.00 60.00
Fractional coordinates of all 10 atoms:
Y 0.862 0.414 0.862
Ir 0.000 0.000 0.000
Y 0.414 0.862 0.862
Ir 0.250 0.250 0.250
Y 0.862 0.862 0.414
Y 0.836 0.388 0.388
Y 0.388 0.388 0.388
Y 0.388 0.388 0.836
Y 0.388 0.836 0.388
Y 0.862 0.862 0.862

## Properties
Calculated density in g cm⁻³: 5.569
DOS at the Fermi energy in states/eV per cell: 14.55
Space group: Fd-3m, No. 227

d) Density functional theory data (PBE) for a geometry-optimized Y4Ir structure.

a b c (Å): 5.442 5.442 5.442
angles (deg): 90.00 90.00 90.00
Fractional coordinates of all 5 atoms:
Y 0.000 0.000 0.000
Y 0.000 0.500 0.500
Y 0.500 0.500 0.000
Y 0.500 0.000 0.500
Ir 0.500 0.500 0.500

## Properties
Calculated density in g cm⁻³: 5.646
DOS at the Fermi energy in states/eV per cell: 7.19
Space group: Pm-3m, No. 221

Quick one: least stable of them? a)

a) Density functional theory data (PBE) for a geometry-optimized Y4Ir5 structure.

a b c (Å): 6.919 6.919 6.919
angles (deg): 95.25 95.25 144.78
Fractional coordinates of all 9 atoms:
Y 0.000 0.712 0.712
Y 0.712 0.000 0.712
Ir 0.663 0.337 0.000
Y 0.000 0.288 0.288
Ir 0.000 0.000 0.000
Ir 0.337 0.663 0.000
Ir 0.663 0.663 0.326
Y 0.288 0.000 0.288
Ir 0.337 0.337 0.674

## Properties
Calculated density in g cm⁻³: 12.009
DOS at the Fermi energy in states/eV per cell: 6.47
Space group: I4/mmm, No. 139

b) Density functional theory data (PBE) for a geometry-optimized Y4Ir5 structure.

a b c (Å): 8.367 8.367 5.883
angles (deg): 90.00 90.00 120.00
Fractional coordinates of all 18 atoms:
Y 0.000 0.372 0.250
Ir 0.696 0.000 0.250
Y 0.372 0.372 0.750
Ir 0.333 0.667 0.500
Ir 0.000 0.696 0.250
Ir 0.333 0.667 0.000
Ir 0.304 0.304 0.250
Y 0.372 0.000 0.250
Y 0.000 0.000 0.500
Y 0.000 0.628 0.750
Ir 0.000 0.304 0.750
Ir 0.696 0.696 0.750
Y 0.000 0.000 0.000
Y 0.628 0.628 0.250
Ir 0.667 0.333 0.500
Y 0.628 0.000 0.750
Ir 0.667 0.333 0.000
Ir 0.304 0.000 0.750

## Properties
Calculated density in g cm⁻³: 12.261
DOS at the Fermi energy in states/eV per cell: 19.59
Space group: P6_3/mcm, No. 193

Quick one: least stable of them? b)

a) Density functional theory data (PBE) for a geometry-optimized Y8Zn2Ir structure.

a b c (Å): 5.127 6.753 9.186
angles (deg): 104.47 106.20 90.00
Fractional coordinates of all 11 atoms:
Zn 0.189 0.731 0.377
Y 0.589 0.435 0.178
Zn 0.811 0.269 0.623
Y 0.028 0.787 0.057
Y 0.411 0.565 0.822
Y 0.202 0.321 0.405
Y 0.341 0.033 0.682
Y 0.659 0.967 0.318
Y 0.972 0.213 0.943
Ir 0.500 0.000 0.000
Y 0.798 0.679 0.595

## Properties
Calculated density in g cm⁻³: 5.824
DOS at the Fermi energy in states/eV per cell: 8.59
Space group: C2/m, No. 12

b) Density functional theory data (PBE) for a geometry-optimized Y8Zn2Ir structure.

a b c (Å): 6.163 8.809 8.809
angles (deg): 129.28 103.45 103.45
Fractional coordinates of all 11 atoms:
Ir 0.283 0.007 0.007
Y 0.989 0.196 0.807
Y 0.989 0.807 0.196
Y 0.302 0.618 0.848
Y 0.646 0.159 0.396
Y 0.769 0.719 0.719
Y 0.646 0.396 0.159
Zn 0.476 0.727 0.284
Y 0.302 0.848 0.618
Y 0.121 0.273 0.273
Zn 0.476 0.284 0.727

## Properties
Calculated density in g cm⁻³: 5.525
DOS at the Fermi energy in states/eV per cell: 13.39
Space group: Cm, No. 8

Quick one: least stable of them? b)